# 1
DFT (PBE) results for a relaxed structure of NdCoCu.

## Properties
Its total energy is -5.452 eV/atom. As for the space group: Imma (74). The value obtained for the formation energy from the elements is -0.13 eV per atom.

abc: 3.9411 4.1528 7.6707
angles: 105.71 104.87 90.00
Each line ends with the local moment (μB).
Positions (direct):
Nd1 0.6321 0.8823 0.7646  -0.08
Cu1 0.0451 0.2958 0.5916  0.01
Nd2 0.3679 0.1177 0.2354  -0.08
Cu2 0.9549 0.7042 0.4084  0.01
Co1 0.2155 0.4655 0.9310  0.86
Co2 0.7845 0.5345 0.0690  0.86

***

# 2
DFT (PBE) results for a relaxed structure of NdCoCu.

## Properties
Its total energy is -5.192 eV/atom. As for the space group: C2/m (12). The value obtained for the formation energy from the elements is 0.13 eV per atom.

abc: 5.5129 5.5129 5.4922
angles: 82.70 126.46 122.32
Each line ends with the local moment (μB).
Positions (direct):
Cu1 0.0000 0.0000 0.5000  -0.01
Co1 0.2505 0.0046 0.2551  1.31
Co2 0.7495 0.9954 0.7449  1.31
Nd1 0.7496 0.3696 0.1191  -0.11
Cu2 0.5000 0.5000 0.5000  -0.01
Nd2 0.2504 0.6304 0.8809  -0.11

***

# 3
DFT (PBE) results for a relaxed structure of Nd4Co2Cu.

## Properties
Its total energy is -5.285 eV/atom. As for the space group: Cmcm (63). The value obtained for the formation energy from the elements is 0.05 eV per atom.

abc: 3.9328 5.5986 18.2787
angles: 90.00 90.00 110.56
Each line ends with the local moment (μB).
Positions (direct):
Co1 0.7820 0.5640 0.9763  0.90
Nd1 0.7883 0.5765 0.1336  -0.07
Nd2 0.5000 0.0000 0.0000  -0.11
Nd3 0.0717 0.1435 0.2500  -0.04
Nd4 0.2117 0.4235 0.6336  -0.07
Nd5 0.2117 0.4235 0.8664  -0.07
Co2 0.7820 0.5640 0.5237  0.90
Cu1 0.6347 0.2695 0.7500  -0.01
Co3 0.2180 0.4360 0.4763  0.90
Co4 0.2180 0.4360 0.0237  0.90
Nd6 0.7883 0.5765 0.3664  -0.07
Nd7 0.5000 0.0000 0.5000  -0.11
Cu2 0.3653 0.7305 0.2500  -0.01
Nd8 0.9283 0.8565 0.7500  -0.04

***

# 4
DFT (PBE) results for a relaxed structure of Nd2CoCu.

## Properties
Its total energy is -4.774 eV/atom. The excess energy over the best structure of this formula in the dataset is 533 meV/atom. As for the space group: R-3m (166). The value obtained for the formation energy from the elements is 0.41 eV per atom.

abc: 3.8553 3.8553 9.1714
angles: 77.87 77.87 60.00
Positions (direct):
Nd1 0.1080 0.1080 0.6761
Cu1 0.0000 0.0000 0.0000
Co1 0.5000 0.5000 0.5000
Nd2 0.8920 0.8920 0.3239